No. 1
ZrNi2Os | Alexandria | PBE | relaxed; E_form = -38 kJ/mol of formula units; calculated total energy = -7.93 eV per atom; spin magnetization = 0.0 Bohr magnetons per cell
1.0
-0.107 -0.417 -4.504
-0.407 -4.190 1.659
-2.863 0.293 0.040
Ni Os Zr
2 1 1
Cartesian
0.000 0.000 0.000
-0.257 -2.304 -1.423
-1.485 -0.062 -2.232
-1.635 -1.948 0.849

=====

No. 2
Ca2ScMn | Alexandria | PBE | relaxed; E_form = 158 kJ/mol of formula units; energy relative to the lowest polymorph listed for this composition = 0.213 eV/atom; calculated total energy = -4.47 eV per atom; spin magnetization = 4.2 Bohr magnetons per cell
1.0
3.695 0.000 0.000
0.000 3.652 0.281
0.000 3.007 8.560
Sc Ca Mn
1 2 1
Cartesian
1.848 4.994 6.631
0.000 3.630 0.559
0.000 3.351 4.142
1.848 1.665 2.210

=====

No. 3
Cs3Er2UTe6 | Alexandria | PBE | relaxed; E_form (uncorrected) = -1.181 eV/atom; calculated total energy = -4.67 eV per atom; spin magnetization = 3.0 Bohr magnetons per cell
1.0
-5.899 -1.162 -5.127
6.966 -3.557 -1.121
-3.152 -5.415 6.884
Cs Er U Te
3 2 1 6
Cartesian
3.264 -5.868 1.659
-5.348 -4.265 -1.023
-1.042 -5.067 0.318
2.679 -2.759 -2.456
-1.612 -1.960 -3.792
0.000 0.000 0.000
-3.921 -7.598 0.106
0.175 -4.439 -3.215
1.836 -2.536 0.531
0.451 -8.411 1.467
-2.259 -5.694 3.851
-2.536 -1.722 -0.830

=====

No. 4
Tb2Nd2DyTm4 | Alexandria | PBE | relaxed; E_form = -1 kJ/mol of formula units; calculated total energy = -4.59 eV per atom; spin magnetization = 0.0 Bohr magnetons per cell
1.0
3.583 0.000 0.000
-1.792 9.284 -0.480
0.000 -3.688 8.776
Tb Nd Dy Tm
2 2 1 4
Cartesian
1.792 5.309 2.630
0.000 0.287 5.666
0.000 2.528 8.448
1.792 3.069 -0.152
0.000 0.000 0.000
1.792 3.399 5.516
0.000 2.197 2.780
1.792 -0.870 2.919
0.000 6.466 5.377

=====

No. 5
HgAuSe | Alexandria | PBE | relaxed; energy relative to the lowest polymorph listed for this composition = 0.061 eV/atom; E_form (uncorrected) = -0.047 eV/atom; calculated total energy = -2.40 eV per atom; spin magnetization = 0.0 Bohr magnetons per cell
1.0
7.507 2.003 -3.693
-1.241 7.670 -3.693
-1.663 -2.566 7.936
Hg Au Se
4 4 4
Cartesian
3.490 2.990 -2.633
-0.241 6.816 -0.786
1.114 4.117 3.183
4.844 0.291 1.335
-0.620 3.835 -1.847
2.302 3.554 0.275
0.000 0.000 0.000
-1.452 2.552 2.121
1.601 4.864 -1.678
-1.421 5.000 2.290
6.025 2.107 -1.741
3.002 2.243 2.227

=====

No. 6
ZnHg2Au | Alexandria | PBE | relaxed; E_form = 44 kJ/mol of formula units; calculated total energy = -1.18 eV per atom; spin magnetization = 0.0 Bohr magnetons per cell
1.0
2.980 0.000 0.000
0.000 5.818 0.000
0.000 0.000 4.854
Au Hg Zn
1 2 1
Cartesian
0.000 2.909 2.427
0.000 0.000 0.000
1.490 2.909 0.000
1.490 0.000 2.427

=====

No. 7
LiTi2Co | Alexandria | PBE | relaxed; E_form = -10 kJ/mol of formula units; energy relative to the lowest polymorph listed for this composition = 0.026 eV/atom; calculated total energy = -6.23 eV per atom; spin magnetization = 0.0 Bohr magnetons per cell
1.0
-1.870 -2.147 1.031
2.316 -2.968 -1.983
2.416 -0.436 3.474
Li Co Ti
1 1 2
Cartesian
1.431 -2.775 1.261
-0.935 -1.074 0.515
1.208 -0.218 1.737
1.158 -1.484 -0.991

=====

No. 8
Ac2ErSn | Alexandria | PBE | relaxed; E_form = 54 kJ/mol of formula units; energy relative to the lowest polymorph listed for this composition = 0.445 eV/atom; calculated total energy = -4.06 eV per atom; spin magnetization = 0.0 Bohr magnetons per cell
1.0
-2.186 -2.539 -1.755
-0.800 -3.292 1.682
-11.251 3.243 5.248
Ac Sn Er
2 1 1
Cartesian
-8.531 1.867 3.849
-5.707 -4.455 1.325
0.000 0.000 0.000
-7.119 -1.294 2.587